This record from Alexandria describes a relaxed structure of DyZn2B2O6. The functional is PBE.

The value obtained for the uncorrected formation energy is -2.1834 eV/atom. For the energy, the calculation gives -74.3 eV/f.u.

a = 5.0056 Å, b = 5.0056 Å, c = 7.0991 Å
α = 90.00°, β = 90.00°, γ = 120.00°
Space group P-3 (No. 147)
One atom of each set of equivalent atoms:
Dy 0.0000 0.0000 0.0000
Zn 0.3333 0.6667 0.3076
B 0.3333 0.6667 0.7977
O 0.0582 0.6701 0.8026